Density functional theory data (GGA-PBE) for a geometry-optimized ErHgF6 structure.

V: 228 Å³ per cell
DOS at the Fermi energy: 14.85 states/eV per cell
Total magnetic moment: 2.0 μB per cell
Symmetry: Cmme (67)
Energy relative to the elements, uncorrected: -2.5041 eV/atom

Cell: 6.7053 6.7053 5.3333 Å, 90.00 90.00 108.18°
Closest atoms and distances in Å follow each position.
Element x y z (fractional)
Er 0.2500 0.2500 0.0000  8 F 2.18-2.36
Er 0.7500 0.7500 0.0000  8 F 2.18-2.36
Hg 0.2500 0.7500 0.5502  6 F 2.33-2.35
Hg 0.7500 0.2500 0.4498  6 F 2.33-2.35
F 0.0491 0.3017 0.7022  1 Er 2.18, 1 Hg 2.35
F 0.0992 0.9008 0.8608  1 Hg 2.33, 2 Er 2.36
F 0.1983 0.4509 0.2978  1 Er 2.18, 1 Hg 2.35
F 0.3017 0.0491 0.2978  1 Er 2.18, 1 Hg 2.35
F 0.4008 0.5992 0.8608  1 Hg 2.33, 2 Er 2.36
F 0.4509 0.1983 0.7022  1 Er 2.18, 1 Hg 2.35
F 0.5491 0.8017 0.2978  1 Er 2.18, 1 Hg 2.35
F 0.5992 0.4008 0.1392  1 Hg 2.33, 2 Er 2.36
F 0.6983 0.9509 0.7022  1 Er 2.18, 1 Hg 2.35
F 0.8017 0.5491 0.7022  1 Er 2.18, 1 Hg 2.35
F 0.9008 0.0992 0.1392  1 Hg 2.33, 2 Er 2.36
F 0.9509 0.6983 0.2978  1 Er 2.18, 1 Hg 2.35

=====

Density functional theory data (GGA-PBE) for a geometry-optimized ErHgF5 structure.

V: 259 Å³ per cell
DOS at the Fermi energy: 0.00 states/eV per cell
Total magnetic moment: 0.0 μB per cell
Symmetry: C2/c (15)
Energy relative to the elements, uncorrected: -2.9370 eV/atom

Cell: 5.9559 5.9559 8.4576 Å, 110.53 110.53 73.59°
Closest atoms and distances in Å follow each position.
Element x y z (fractional)
Er 0.0000 0.0000 0.0000  6 F 2.15-2.16
Er 0.0000 0.0000 0.5000  6 F 2.15-2.16
Hg 0.4798 0.5202 0.7500  2 F 2.14
Hg 0.5202 0.4798 0.2500  2 F 2.14
F 0.0612 0.9388 0.7500  2 Er 2.16
F 0.2159 0.2845 0.6292  1 Hg 2.14, 1 Er 2.16
F 0.2800 0.6827 0.0225  1 Er 2.15
F 0.2845 0.2159 0.1292  1 Hg 2.14, 1 Er 2.16
F 0.3173 0.7200 0.4775  1 Er 2.15
F 0.6827 0.2800 0.5225  1 Er 2.15
F 0.7155 0.7841 0.8708  1 Hg 2.14, 1 Er 2.16
F 0.7200 0.3173 0.9775  1 Er 2.15
F 0.7841 0.7155 0.3708  1 Hg 2.14, 1 Er 2.16
F 0.9388 0.0612 0.2500  2 Er 2.16

=====

Density functional theory data (GGA-PBE) for a geometry-optimized Er2HgF structure.

V: 131 Å³ per cell
DOS at the Fermi energy: 4.71 states/eV per cell
Total magnetic moment: 0.0 μB per cell
Symmetry: R-3m (166)
Energy relative to the elements, uncorrected: -1.3313 eV/atom

Cell: 7.2708 7.2708 7.2708 Å, 38.00 38.00 38.00°
Closest atoms and distances in Å follow each position.
Element x y z (fractional)
Er 0.1063 0.1063 0.1063  1 F 2.15
Er 0.8937 0.8937 0.8937  1 F 2.15
Hg 0.5000 0.5000 0.5000  6 Er 2.99
F 0.0000 0.0000 0.0000  2 Er 2.15

=====

Density functional theory data (GGA-PBE) for a geometry-optimized KErHg2F8 structure.

V: 184 Å³ per cell
DOS at the Fermi energy: 0.00 states/eV per cell
Total magnetic moment: 0.0 μB per cell
Symmetry: Pmmm (47)
Energy relative to the elements, uncorrected: -2.5469 eV/atom

Cell: 4.0182 5.7167 8.0162 Å, 90.00 90.00 90.00°
Closest atoms and distances in Å follow each position.
Element x y z (fractional)
K 0.0000 0.0000 0.0000  8 F 2.54-2.71
Er 0.0000 0.0000 0.5000  8 F 2.23-2.37
Hg 0.5000 0.5000 0.2407  6 F 2.33-2.49
Hg 0.5000 0.5000 0.7593  6 F 2.33-2.49
F 0.0000 0.2509 0.2868  1 Er 2.23, 2 Hg 2.49
F 0.0000 0.2509 0.7133  1 Er 2.23, 2 Hg 2.49
F 0.0000 0.7491 0.2868  1 Er 2.23, 2 Hg 2.49
F 0.0000 0.7491 0.7133  1 Er 2.23, 2 Hg 2.49
F 0.5000 0.2187 0.5000  2 Er 2.37, 5 F 2.50-2.64, 2 Hg 2.63
F 0.5000 0.2715 0.0000  2 Hg 2.33, 2 K 2.54
F 0.5000 0.7285 0.0000  2 Hg 2.33, 2 K 2.54
F 0.5000 0.7813 0.5000  2 Er 2.37, 5 F 2.50-2.64, 2 Hg 2.63

=====

Density functional theory data (GGA-PBE) for a geometry-optimized NaErHgF6 structure.

V: 294 Å³ per cell
DOS at the Fermi energy: 0.00 states/eV per cell
Total magnetic moment: 0.0 μB per cell
Symmetry: P-31c (163)
Energy relative to the elements, uncorrected: -2.8832 eV/atom

Cell: 6.0015 6.0015 9.4319 Å, 90.00 90.00 120.00°
Closest atoms and distances in Å follow each position.
Element x y z (fractional)
Na 0.0000 0.0000 0.0000  6 F 2.41
Na 0.0000 0.0000 0.5000  6 F 2.41
Er 0.3333 0.6667 0.2500  6 F 2.18
Er 0.6667 0.3333 0.7500  6 F 2.18
Hg 0.3333 0.6667 0.7500  6 F 2.36
Hg 0.6667 0.3333 0.2500  6 F 2.36
F 0.0223 0.3566 0.1305  1 Er 2.18, 1 Hg 2.36, 1 Na 2.41
F 0.0223 0.6657 0.3695  1 Er 2.18, 1 Hg 2.36, 1 Na 2.41
F 0.3343 0.3566 0.3695  1 Er 2.18, 1 Hg 2.36, 1 Na 2.41
F 0.3343 0.9777 0.1305  1 Er 2.18, 1 Hg 2.36, 1 Na 2.41
F 0.3566 0.0223 0.6305  1 Er 2.18, 1 Hg 2.36, 1 Na 2.41
F 0.3566 0.3343 0.8695  1 Er 2.18, 1 Hg 2.36, 1 Na 2.41
F 0.6434 0.6657 0.1305  1 Er 2.18, 1 Hg 2.36, 1 Na 2.41
F 0.6434 0.9777 0.3695  1 Er 2.18, 1 Hg 2.36, 1 Na 2.41
F 0.6657 0.0223 0.8695  1 Er 2.18, 1 Hg 2.36, 1 Na 2.41
F 0.6657 0.6434 0.6305  1 Er 2.18, 1 Hg 2.36, 1 Na 2.41
F 0.9777 0.3343 0.6305  1 Er 2.18, 1 Hg 2.36, 1 Na 2.41
F 0.9777 0.6434 0.8695  1 Er 2.18, 1 Hg 2.36, 1 Na 2.41

=====

Density functional theory data (GGA-PBE) for a geometry-optimized Rb2ErHgF6 structure.

V: 428 Å³ per cell
DOS at the Fermi energy: 3.74 states/eV per cell
Total magnetic moment: 1.9 μB per cell
Symmetry: Pmmn (59)
Energy relative to the elements, uncorrected: -2.8897 eV/atom

Cell: 6.5574 9.4023 6.9459 Å, 90.00 90.00 90.00°
Closest atoms and distances in Å follow each position.
Element x y z (fractional)
Rb 0.2500 0.0183 0.2141  5 F 2.92-3.19
Rb 0.2500 0.4817 0.2141  5 F 2.92-3.19
Rb 0.7500 0.5183 0.7859  5 F 2.92-3.19
Rb 0.7500 0.9817 0.7859  5 F 2.92-3.19
Er 0.2500 0.7500 0.7779  6 F 2.15-2.17
Er 0.7500 0.2500 0.2221  6 F 2.15-2.17
Hg 0.2500 0.2500 0.7187  6 F 2.61-2.63
Hg 0.7500 0.7500 0.2813  6 F 2.61-2.63
F 0.0042 0.7500 0.5736  1 Er 2.15
F 0.0204 0.7500 0.0025  1 Er 2.17
F 0.2500 0.5210 0.7974  1 Er 2.16
F 0.2500 0.9790 0.7974  1 Er 2.16
F 0.4796 0.7500 0.0025  1 Er 2.17
F 0.4958 0.7500 0.5736  1 Er 2.15
F 0.5042 0.2500 0.4264  1 Er 2.15
F 0.5204 0.2500 0.9975  1 Er 2.17
F 0.7500 0.0210 0.2026  1 Er 2.16
F 0.7500 0.4790 0.2026  1 Er 2.16
F 0.9796 0.2500 0.9975  1 Er 2.17
F 0.9958 0.2500 0.4264  1 Er 2.15

=====

Density functional theory data (GGA-PBE) for a geometry-optimized RbErHgF6 structure.

V: 374 Å³ per cell
DOS at the Fermi energy: 0.00 states/eV per cell
Total magnetic moment: 0.0 μB per cell
Symmetry: P-31c (163)
Energy relative to the elements, uncorrected: -2.9309 eV/atom

Cell: 6.1787 6.1787 11.3100 Å, 90.00 90.00 120.00°
Closest atoms and distances in Å follow each position.
Element x y z (fractional)
Rb 0.0000 0.0000 0.0000  6 F 2.86
Rb 0.0000 0.0000 0.5000  6 F 2.86
Er 0.3333 0.6667 0.2500  6 F 2.18
Er 0.6667 0.3333 0.7500  6 F 2.18
Hg 0.3333 0.6667 0.7500  6 F 2.36
Hg 0.6667 0.3333 0.2500  6 F 2.36
F 0.0213 0.3883 0.1463  1 Er 2.18, 1 Hg 2.36
F 0.0213 0.6330 0.3537  1 Er 2.18, 1 Hg 2.36
F 0.3670 0.3883 0.3537  1 Er 2.18, 1 Hg 2.36
F 0.3670 0.9787 0.1463  1 Er 2.18, 1 Hg 2.36
F 0.3883 0.0213 0.6463  1 Er 2.18, 1 Hg 2.36
F 0.3883 0.3670 0.8537  1 Er 2.18, 1 Hg 2.36
F 0.6117 0.6330 0.1463  1 Er 2.18, 1 Hg 2.36
F 0.6117 0.9787 0.3537  1 Er 2.18, 1 Hg 2.36
F 0.6330 0.0213 0.8537  1 Er 2.18, 1 Hg 2.36
F 0.6330 0.6117 0.6463  1 Er 2.18, 1 Hg 2.36
F 0.9787 0.3670 0.6463  1 Er 2.18, 1 Hg 2.36
F 0.9787 0.6117 0.8537  1 Er 2.18, 1 Hg 2.36

=====

Density functional theory data (GGA-PBE) for a geometry-optimized ErTlHgF6 structure.

V: 185 Å³ per cell
DOS at the Fermi energy: 0.00 states/eV per cell
Total magnetic moment: 0.0 μB per cell
Symmetry: P312 (149)
Energy relative to the elements, uncorrected: -2.6942 eV/atom

Cell: 6.1854 6.1854 5.5863 Å, 90.00 90.00 120.00°
Closest atoms and distances in Å follow each position.
Element x y z (fractional)
Er 0.0000 0.0000 0.0000  6 F 2.18
Tl 0.6667 0.3333 0.5000  6 F 2.84
Hg 0.3333 0.6667 0.0000  6 F 2.36
F 0.0322 0.3123 0.2087  1 Er 2.18, 1 Hg 2.36
F 0.0322 0.7199 0.7913  1 Er 2.18, 1 Hg 2.36
F 0.2801 0.3123 0.7913  1 Er 2.18, 1 Hg 2.36
F 0.2801 0.9678 0.2087  1 Er 2.18, 1 Hg 2.36
F 0.6877 0.7199 0.2087  1 Er 2.18, 1 Hg 2.36
F 0.6877 0.9678 0.7913  1 Er 2.18, 1 Hg 2.36

=====

Density functional theory data (GGA-PBE) for a geometry-optimized Ho2ErF structure.

V: 97 Å³ per cell
DOS at the Fermi energy: 3.01 states/eV per cell
Total magnetic moment: 0.0 μB per cell
Symmetry: R-3m (166)
Energy relative to the elements, uncorrected: -1.1332 eV/atom

Cell: 8.6341 8.6341 8.6341 Å, 24.44 24.44 24.44°
Closest atoms and distances in Å follow each position.
Element x y z (fractional)
Ho 0.2233 0.2233 0.2233  3 F 2.54
Ho 0.7767 0.7767 0.7767  3 F 2.54
Er 0.0000 0.0000 0.0000  6 Ho 3.48, 6 Er 3.66
F 0.5000 0.5000 0.5000  6 Ho 2.54

=====

Density functional theory data (GGA-PBE) for a geometry-optimized HoEr2F structure.

V: 96 Å³ per cell
DOS at the Fermi energy: 3.10 states/eV per cell
Total magnetic moment: 0.0 μB per cell
Symmetry: R-3m (166)
Energy relative to the elements, uncorrected: -1.1287 eV/atom

Cell: 8.6199 8.6199 8.6199 Å, 24.40 24.40 24.40°
Closest atoms and distances in Å follow each position.
Element x y z (fractional)
Ho 0.0000 0.0000 0.0000  6 Er 3.47, 6 Ho 3.64
Er 0.2232 0.2232 0.2232  3 F 2.54
Er 0.7768 0.7768 0.7768  3 F 2.54
F 0.5000 0.5000 0.5000  6 Er 2.54

=====

Density functional theory data (GGA-PBE) for a geometry-optimized Ho3ErF structure.

V: 125 Å³ per cell
DOS at the Fermi energy: 5.10 states/eV per cell
Total magnetic moment: 0.0 μB per cell
Symmetry: Pm-3m (221)
Energy relative to the elements, uncorrected: -0.9126 eV/atom

Cell: 5.0002 5.0002 5.0002 Å, 90.00 90.00 90.00°
Closest atoms and distances in Å follow each position.
Element x y z (fractional)
Ho 0.0000 0.0000 0.5000  2 F 2.50
Ho 0.0000 0.5000 0.0000  2 F 2.50
Ho 0.5000 0.0000 0.0000  2 F 2.50
Er 0.5000 0.5000 0.5000  12 Ho 3.54
F 0.0000 0.0000 0.0000  6 Ho 2.50

=====

Density functional theory data (GGA-PBE) for a geometry-optimized ErI2F structure.

V: 301 Å³ per cell
DOS at the Fermi energy: 0.00 states/eV per cell
Total magnetic moment: 0.0 μB per cell
Symmetry: C2/c (15)
Energy relative to the elements, uncorrected: -2.3060 eV/atom

Cell: 8.6184 8.6184 8.6228 Å, 104.43 104.43 29.10°
Closest atoms and distances in Å follow each position.
Element x y z (fractional)
Er 0.0008 0.9992 0.7500  2 F 2.16-2.17
Er 0.9992 0.0008 0.2500  2 F 2.16-2.17
I 0.1320 0.1322 0.0658  2 Er 3.03
I 0.1322 0.1320 0.5658  2 Er 3.03
I 0.8678 0.8680 0.4342  2 Er 3.03
I 0.8680 0.8678 0.9342  2 Er 3.03
F 0.4993 0.5007 0.2500  2 Er 2.16-2.17
F 0.5007 0.4993 0.7500  2 Er 2.16-2.17

=====

Which formula does entry 5 have?
NaErHgF6

=====

Which formula does entry 2 have?
ErHgF5

=====

Among the records above, which one has the highest V?
Rb2ErHgF6

=====

The highest DOS at the Fermi energy belongs to which entry?
ErHgF6